# 1
## Ba3Pb (PBE)

Data for Ba3Pb after structural relaxation.

abc: 7.1863 7.1863 7.1863
angles: 90.00 90.00 90.00
Closest atoms and distances in Å follow each position.
Atoms (fractional coordinates):
Ba  0.7500  0.5000  0.0000  2 Ba 3.59, 4 Pb 4.02
Ba  0.2500  0.5000  0.0000  2 Ba 3.59, 4 Pb 4.02
Ba  0.0000  0.7500  0.5000  2 Ba 3.59, 4 Pb 4.02
Ba  0.0000  0.2500  0.5000  2 Ba 3.59, 4 Pb 4.02
Ba  0.5000  0.0000  0.2500  2 Ba 3.59, 4 Pb 4.02
Ba  0.5000  0.0000  0.7500  2 Ba 3.59, 4 Pb 4.02
Pb  0.0000  0.0000  0.0000  12 Ba 4.02
Pb  0.5000  0.5000  0.5000  12 Ba 4.02

Values from the calculation:
Calculated total energy, eV/atom: -2.588

=====

# 2
## Ba3Pb (PBE)

Data for Ba3Pb after structural relaxation.

abc: 13.0904 13.0903 13.0905
angles: 19.65 19.65 19.65
Closest atoms and distances in Å follow each position.
Atoms (fractional coordinates):
Pb  0.0000  0.0000  0.0000  6 Ba 3.58
Ba  0.7310  0.7310  0.7311  3 Pb 3.58
Ba  0.5000  0.5000  0.5000  12 Ba 4.47-4.71
Ba  0.2690  0.2690  0.2689  3 Pb 3.58

Values from the calculation:
Calculated total energy, eV/atom: -2.529